Density functional theory data (GGA-PBE) for crystalline Tl4TcBr at its relaxed geometry.

CIF file:
```
data_Tl4TcBr
_chemical_formula_sum 'Tl16 Tc4 Br4'
_cell_length_a 8.955
_cell_length_b 8.955
_cell_length_c 8.955
_cell_angle_alpha 90.00
_cell_angle_beta 90.00
_cell_angle_gamma 90.00
_symmetry_space_group_name_H-M 'F -4 3 m'
_symmetry_Int_Tables_number 216
_symmetry_space_group_name_Hall 'F -4 2 3'
loop_
_atom_site_label
_atom_site_fract_x
_atom_site_fract_y
_atom_site_fract_z
_atom_site_occupancy
Tl1 0.125 0.125 0.125 1
Tc1 0.000 0.000 0.500 1
Br1 0.250 0.250 0.750 1
```

## Properties
- D(E_F): 17.5 states/eV/cell
- DFT total energy: -69.73 eV per cell
- Density: 9.2 Mg/m³

=====

Density functional theory data (GGA-PBE) for crystalline TlTc2Br at its relaxed geometry.

CIF file:
```
data_TlTc2Br
_chemical_formula_sum 'Tl4 Tc8 Br4'
_cell_length_a 6.719
_cell_length_b 6.719
_cell_length_c 6.719
_cell_angle_alpha 90.00
_cell_angle_beta 90.00
_cell_angle_gamma 90.00
_symmetry_space_group_name_H-M 'F -4 3 m'
_symmetry_Int_Tables_number 216
_symmetry_space_group_name_Hall 'F -4 2 3'
loop_
_atom_site_label
_atom_site_fract_x
_atom_site_fract_y
_atom_site_fract_z
_atom_site_occupancy
Tl1 0.000 0.000 0.000 1
Tc1 0.000 0.000 0.500 1
Tc2 0.250 0.250 0.250 1
Br1 0.250 0.250 0.750 1
```

## Properties
- Offset from the most stable computed form: 0.9050 eV per atom
- D(E_F): 14.2 states/eV/cell
- DFT total energy: -80.20 eV per cell
- Density: 10.5 Mg/m³

=====

Density functional theory data (GGA-PBE) for crystalline TlTcBr at its relaxed geometry.

CIF file:
```
data_TlTcBr
_chemical_formula_sum 'Tl1 Tc1 Br1'
_cell_length_a 4.7712
_cell_length_b 4.7712
_cell_length_c 3.4350
_cell_angle_alpha 90.00
_cell_angle_beta 90.00
_cell_angle_gamma 120.00
_symmetry_space_group_name_H-M 'P -6 m 2'
_symmetry_Int_Tables_number 187
_symmetry_space_group_name_Hall 'P -6 2'
loop_
_atom_site_label
_atom_site_fract_x
_atom_site_fract_y
_atom_site_fract_z
_atom_site_occupancy
Tl1 0.0000 0.0000 0.0000 1
Tc1 0.3333 0.6667 0.5000 1
Br1 0.6667 0.3333 0.5000 1
```

## Properties
- Offset from the most stable computed form: 0.2484 eV per atom
- D(E_F): 2.7 states/eV/cell
- DFT total energy: -12.13 eV per cell
- Density: 9.4 Mg/m³

=====

Density functional theory data (GGA-PBE) for crystalline TlTcBr at its relaxed geometry.

CIF file:
```
data_TlTcBr
_chemical_formula_sum 'Tl4 Tc4 Br4'
_cell_length_a 3.123
_cell_length_b 5.662
_cell_length_c 15.774
_cell_angle_alpha 90.00
_cell_angle_beta 90.00
_cell_angle_gamma 90.00
_symmetry_space_group_name_H-M 'F m m 2'
_symmetry_Int_Tables_number 42
_symmetry_space_group_name_Hall 'F 2 -2'
loop_
_atom_site_label
_atom_site_fract_x
_atom_site_fract_y
_atom_site_fract_z
_atom_site_occupancy
Tl1 0.000 0.000 0.000 1
Tc1 0.000 0.000 0.341 1
Br1 0.000 0.000 0.719 1
```

## Properties
- Offset from the most stable computed form: 0.1341 eV per atom
- D(E_F): 11.5 states/eV/cell
- DFT total energy: -49.90 eV per cell
- Density: 9.1 Mg/m³

=====

Density functional theory data (GGA-PBE) for crystalline TlTc2Br at its relaxed geometry.

CIF file:
```
data_TlTc2Br
_chemical_formula_sum 'Tl3 Tc6 Br3'
_cell_length_a 3.0876
_cell_length_b 3.0876
_cell_length_c 25.8690
_cell_angle_alpha 90.00
_cell_angle_beta 90.00
_cell_angle_gamma 120.00
_symmetry_space_group_name_H-M 'R -3 m'
_symmetry_Int_Tables_number 166
_symmetry_space_group_name_Hall '-R 3 2"'
loop_
_atom_site_label
_atom_site_fract_x
_atom_site_fract_y
_atom_site_fract_z
_atom_site_occupancy
Tl1 0.0000 0.0000 0.0000 1
Tc1 0.0000 0.0000 0.2455 1
Br1 0.0000 0.0000 0.5000 1
```

## Properties
- Offset from the most stable computed form: 0.6043 eV per atom
- D(E_F): 15.3 states/eV/cell
- DFT total energy: -63.76 eV per cell
- Density: 11.2 Mg/m³

=====

Density functional theory data (GGA-PBE) for crystalline Tl3TcBr8 at its relaxed geometry.

CIF file:
```
data_Tl3TcBr8
_chemical_formula_sum 'Tl6 Tc2 Br16'
_cell_length_a 9.2315
_cell_length_b 9.2315
_cell_length_c 11.4743
_cell_angle_alpha 90.00
_cell_angle_beta 90.00
_cell_angle_gamma 120.00
_symmetry_space_group_name_H-M 'P 63 m c'
_symmetry_Int_Tables_number 186
_symmetry_space_group_name_Hall 'P 6c -2c'
loop_
_atom_site_label
_atom_site_fract_x
_atom_site_fract_y
_atom_site_fract_z
_atom_site_occupancy
Tl1 0.1562 0.3125 0.0000 1
Tc1 0.3333 0.6667 0.4906 1
Br1 0.0000 0.0000 0.1789 1
Br2 0.0758 0.5379 0.6160 1
Br3 0.2043 0.4086 0.3622 1
Br4 0.3333 0.6667 0.8989 1
```

## Properties
- D(E_F): 17.2 states/eV/cell
- DFT total energy: -75.25 eV per cell
- Density: 5.3 Mg/m³